The following is a DFT calculation (PBE-GGA) of a relaxed structure of MnCdPt.

abc: 2.9836 3.7921 8.8992
angles: 90.00 90.00 90.00
Space group Imm2 (No. 44)
Symmetry-distinct sites (fractional):
Mn  0.0000  0.0000  0.0000
Cd  0.0000  0.0000  0.3197
Pt  0.0000  0.0000  0.6412

For the formation energy, the calculation gives -194 meV per atom.